[1]
ZrBPb3: optimized geometry, PBE-GGA.

Values from the calculation:
V: 125.8 Å³/cell
spin magnetization: 0.00 μB per cell
Fermi-level density of states: 5.23 states/eV/f.u.
calculated total energy: -4.397 eV per atom
excess energy over the best structure of this formula in the dataset: 0 meV per atom
energy relative to the elements: 84 kJ per mole of atoms
space group: No. 221

```
ZrBPb3
1.0
-4.7071 1.5092 -0.8190
0.6150 -0.7496 -4.9158
-1.6033 -4.7187 0.5190
Zr Pb B
1 3 1
direct
0.5000 0.5000 0.5000 Zr
0.5000 0.0000 0.0000 Pb
0.0000 0.5000 0.0000 Pb
0.0000 0.0000 0.5000 Pb
0.0000 0.0000 0.0000 B
```

[2]
ZrB2Pb: optimized geometry, PBE-GGA.

Values from the calculation:
V: 136.1 Å³/cell
spin magnetization: 0.00 μB per cell
Fermi-level density of states: 1.60 states/eV/f.u.
calculated total energy: -5.619 eV per atom
energy relative to the elements: 76 kJ per mole of atoms
space group: No. 122

```
ZrB2Pb
1.0
-2.0753 -5.1799 -2.9396
2.4121 -3.5772 4.6005
-2.7862 -4.1673 2.5439
B Pb Zr
4 2 2
direct
0.6268 0.1250 0.2500 B
0.8750 0.8768 0.7500 B
0.3750 0.3732 0.7500 B
0.1232 0.6250 0.2500 B
0.7500 0.2500 0.5000 Pb
0.0000 0.0000 0.0000 Pb
0.5000 0.5000 0.0000 Zr
0.2500 0.7500 0.5000 Zr
```

[3]
ZrBPb3: optimized geometry, PBE-GGA.

Values from the calculation:
V: 182.3 Å³/cell
spin magnetization: 0.00 μB per cell
Fermi-level density of states: 2.97 states/eV/f.u.
calculated total energy: -3.956 eV per atom
excess energy over the best structure of this formula in the dataset: 441 meV per atom
energy relative to the elements: 127 kJ per mole of atoms
space group: No. 221

```
ZrBPb3
1.0
5.6697 0.0000 0.0000
0.0000 5.6697 0.0000
0.0000 0.0000 5.6697
Pb B Zr
3 1 1
direct
0.0000 0.5000 0.0000 Pb
0.5000 0.0000 0.0000 Pb
0.0000 0.0000 0.5000 Pb
0.5000 0.5000 0.5000 B
0.0000 0.0000 0.0000 Zr
```

[4]
ZrB3Pb: optimized geometry, PBE-GGA.

Values from the calculation:
V: 89.3 Å³/cell
spin magnetization: 0.00 μB per cell
Fermi-level density of states: 3.83 states/eV/f.u.
calculated total energy: -4.235 eV per atom
excess energy over the best structure of this formula in the dataset: 755 meV per atom
energy relative to the elements: 214 kJ per mole of atoms
space group: No. 221

```
ZrB3Pb
1.0
4.4690 0.0000 0.0000
0.0000 4.4690 0.0000
0.0000 0.0000 4.4690
B Pb Zr
3 1 1
direct
0.0000 0.5000 0.0000 B
0.5000 0.0000 0.0000 B
0.0000 0.0000 0.5000 B
0.0000 0.0000 0.0000 Pb
0.5000 0.5000 0.5000 Zr
```

[5]
Zr6BPb2: optimized geometry, PBE-GGA.

Values from the calculation:
V: 390.8 Å³/cell
spin magnetization: 0.00 μB per cell
Fermi-level density of states: 12.78 states/eV/f.u.
calculated total energy: -7.520 eV per atom
energy relative to the elements: -25 kJ per mole of atoms
space group: No. 58

```
Zr6BPb2
1.0
6.5276 0.0000 -0.1732
0.0000 6.5255 0.0000
0.2412 0.0000 9.1682
Zr B Pb
12 2 4
direct
0.2564 0.2542 0.4999 Zr
0.2449 0.2445 0.0000 Zr
0.5002 0.5000 0.7433 Zr
0.7436 0.7458 0.5001 Zr
0.4998 0.5000 0.2567 Zr
0.7449 0.2555 0.5000 Zr
0.2551 0.7445 0.5000 Zr
0.7564 0.2458 0.9999 Zr
0.0002 0.0000 0.2433 Zr
0.2436 0.7542 0.0001 Zr
0.9998 0.0000 0.7567 Zr
0.7551 0.7555 0.0000 Zr
0.5000 0.5000 0.0000 B
0.0000 0.0000 0.5000 B
0.4998 0.0000 0.7506 Pb
0.9998 0.5000 0.2506 Pb
0.0002 0.5000 0.7494 Pb
0.5002 0.0000 0.2494 Pb
```

[6]
BPd5: optimized geometry, PBE-GGA.

Values from the calculation:
V: 84.5 Å³/cell
spin magnetization: 0.00 μB per cell
Fermi-level density of states: 4.40 states/eV/f.u.
calculated total energy: -5.576 eV per atom
excess energy over the best structure of this formula in the dataset: 73 meV per atom
energy relative to the elements: -13 kJ per mole of atoms
space group: No. 8

```
BPd5
1.0
2.8073 0.0000 0.0000
-1.4036 4.1697 -1.9831
0.0000 1.2780 6.6112
B Pd
1 5
direct
0.2523 0.5045 0.0270 B
0.7046 0.4092 0.2461 Pd
0.6208 0.2416 0.8120 Pd
0.3173 0.6346 0.6241 Pd
0.9268 0.8536 0.0160 Pd
0.0116 0.0232 0.4414 Pd
```